DFT (PBE) results for crystalline MnReSnCSe at its relaxed geometry.

Computed properties:
**Magnetization**: 2.50 μB per formula unit
**Uncorrected formation energy**: 0.28 eV per atom

Cell and atoms, written as CIF:
```
data_MnReSnCSe
_chemical_formula_sum 'Mn2 Re2 Sn2 C2 Se2'
_cell_length_a 5.415
_cell_length_b 2.988
_cell_length_c 11.762
_cell_angle_alpha 90.00
_cell_angle_beta 112.40
_cell_angle_gamma 90.00
_space_group_name_H-M_alt 'P 1'
_space_group_IT_number 1
loop_
_space_group_symop_operation_xyz
'x,y,z'
loop_
_atom_site_label
_atom_site_fract_x
_atom_site_fract_y
_atom_site_fract_z
_atom_site_occupancy
Re1 0.932 0.000 0.681 1
Re2 0.932 0.500 0.181 1
C1 0.671 0.000 0.175 1
C2 0.671 0.500 0.675 1
Mn1 0.416 0.000 0.633 1
Mn2 0.416 0.500 0.133 1
Sn1 0.350 0.000 0.362 1
Sn2 0.350 0.500 0.862 1
Se1 0.014 0.000 0.023 1
Se2 0.014 0.500 0.523 1
```

=====

DFT (PBE) results for crystalline MnReSnCSe at its relaxed geometry.

Computed properties:
**Magnetization**: 1.43 μB per formula unit
**Uncorrected formation energy**: 0.28 eV per atom

Cell and atoms, written as CIF:
```
data_MnReSnCSe
_chemical_formula_sum 'Mn2 Re2 Sn2 C2 Se2'
_cell_length_a 5.729
_cell_length_b 2.981
_cell_length_c 10.597
_cell_angle_alpha 90.00
_cell_angle_beta 111.35
_cell_angle_gamma 90.00
_space_group_name_H-M_alt 'P 1'
_space_group_IT_number 1
loop_
_space_group_symop_operation_xyz
'x,y,z'
loop_
_atom_site_label
_atom_site_fract_x
_atom_site_fract_y
_atom_site_fract_z
_atom_site_occupancy
Re1 0.870 0.000 0.174 1
Re2 0.870 0.500 0.674 1
C1 0.949 0.000 0.807 1
C2 0.949 0.500 0.307 1
Mn1 0.931 0.000 0.433 1
Mn2 0.931 0.500 0.933 1
Sn1 0.316 0.000 0.124 1
Sn2 0.316 0.500 0.624 1
Se1 0.602 0.000 0.930 1
Se2 0.602 0.500 0.430 1
```

=====

DFT (PBE) results for crystalline MnReSnCSe at its relaxed geometry.

Computed properties:
**Magnetization**: 2.05 μB per formula unit
**Uncorrected formation energy**: 0.27 eV per atom

Cell and atoms, written as CIF:
```
data_MnReSnCSe
_chemical_formula_sum 'Mn2 Re2 Sn2 C2 Se2'
_cell_length_a 5.569
_cell_length_b 3.082
_cell_length_c 10.473
_cell_angle_alpha 90.00
_cell_angle_beta 114.45
_cell_angle_gamma 90.00
_space_group_name_H-M_alt 'P 1'
_space_group_IT_number 1
loop_
_space_group_symop_operation_xyz
'x,y,z'
loop_
_atom_site_label
_atom_site_fract_x
_atom_site_fract_y
_atom_site_fract_z
_atom_site_occupancy
Re1 0.619 0.000 0.752 1
Re2 0.619 0.500 0.252 1
C1 0.873 0.000 0.276 1
C2 0.873 0.500 0.776 1
Mn1 0.092 0.000 0.763 1
Mn2 0.092 0.500 0.263 1
Sn1 0.562 0.000 0.466 1
Sn2 0.562 0.500 0.966 1
Se1 0.204 0.000 0.110 1
Se2 0.204 0.500 0.610 1
```

=====

DFT (PBE) results for crystalline MnReSnCSe at its relaxed geometry.

Computed properties:
**Magnetization**: 1.68 μB per formula unit
**Uncorrected formation energy**: 0.23 eV per atom

Cell and atoms, written as CIF:
```
data_MnReSnCSe
_chemical_formula_sum 'Mn1 Re1 Sn1 C1 Se1'
_cell_length_a 2.966
_cell_length_b 5.309
_cell_length_c 7.238
_cell_angle_alpha 70.38
_cell_angle_beta 89.88
_cell_angle_gamma 73.82
_space_group_name_H-M_alt 'P 1'
_space_group_IT_number 1
loop_
_space_group_symop_operation_xyz
'x,y,z'
loop_
_atom_site_label
_atom_site_fract_x
_atom_site_fract_y
_atom_site_fract_z
_atom_site_occupancy
Re1 0.062 0.705 0.803 1
C1 0.693 0.442 0.775 1
Mn1 0.305 0.217 0.765 1
Sn1 0.849 0.135 0.453 1
Se1 0.510 0.806 0.048 1
```

=====

DFT (PBE) results for crystalline MnReSnCSe at its relaxed geometry.

Computed properties:
**Magnetization**: 0.00 μB per formula unit
**Uncorrected formation energy**: 0.27 eV per atom

Cell and atoms, written as CIF:
```
data_MnReSnCSe
_chemical_formula_sum 'Mn2 Re2 Sn2 C2 Se2'
_cell_length_a 5.752
_cell_length_b 3.118
_cell_length_c 10.097
_cell_angle_alpha 90.00
_cell_angle_beta 111.84
_cell_angle_gamma 90.00
_space_group_name_H-M_alt 'P 1'
_space_group_IT_number 1
loop_
_space_group_symop_operation_xyz
'x,y,z'
loop_
_atom_site_label
_atom_site_fract_x
_atom_site_fract_y
_atom_site_fract_z
_atom_site_occupancy
Re1 0.267 0.000 0.027 1
Re2 0.267 0.500 0.527 1
C1 0.349 0.000 0.676 1
C2 0.349 0.500 0.176 1
Mn1 0.385 0.000 0.288 1
Mn2 0.385 0.500 0.788 1
Sn1 0.726 0.000 0.991 1
Sn2 0.726 0.500 0.491 1
Se1 0.020 0.000 0.326 1
Se2 0.020 0.500 0.826 1
```

=====

DFT (PBE) results for crystalline MnReSnCSe at its relaxed geometry.

Computed properties:
**Magnetization**: 1.78 μB per formula unit
**Uncorrected formation energy**: 0.13 eV per atom

Cell and atoms, written as CIF:
```
data_MnReSnCSe
_chemical_formula_sum 'Mn1 Re1 Sn1 C1 Se1'
_cell_length_a 3.036
_cell_length_b 3.427
_cell_length_c 9.870
_cell_angle_alpha 83.35
_cell_angle_beta 81.09
_cell_angle_gamma 63.73
_space_group_name_H-M_alt 'P 1'
_space_group_IT_number 1
loop_
_space_group_symop_operation_xyz
'x,y,z'
loop_
_atom_site_label
_atom_site_fract_x
_atom_site_fract_y
_atom_site_fract_z
_atom_site_occupancy
Re1 0.449 0.731 0.992 1
C1 0.115 0.329 0.063 1
Mn1 0.680 0.071 0.188 1
Sn1 0.924 0.035 0.741 1
Se1 0.297 0.677 0.347 1
```

=====

DFT (PBE) results for crystalline MnReSnCSe at its relaxed geometry.

Computed properties:
**Magnetization**: 1.97 μB per formula unit
**Uncorrected formation energy**: 0.14 eV per atom

Cell and atoms, written as CIF:
```
data_MnReSnCSe
_chemical_formula_sum 'Mn2 Re2 Sn2 C2 Se2'
_cell_length_a 10.103
_cell_length_b 3.103
_cell_length_c 5.372
_cell_angle_alpha 90.00
_cell_angle_beta 90.44
_cell_angle_gamma 90.00
_space_group_name_H-M_alt 'P 1'
_space_group_IT_number 1
loop_
_space_group_symop_operation_xyz
'x,y,z'
loop_
_atom_site_label
_atom_site_fract_x
_atom_site_fract_y
_atom_site_fract_z
_atom_site_occupancy
Re1 0.770 0.000 0.820 1
Re2 0.770 0.500 0.320 1
C1 0.648 0.000 0.484 1
C2 0.648 0.500 0.984 1
Mn1 0.557 0.000 0.149 1
Mn2 0.557 0.500 0.649 1
Sn1 0.325 0.000 0.812 1
Sn2 0.325 0.500 0.312 1
Se1 0.952 0.000 0.489 1
Se2 0.952 0.500 0.989 1
```

=====

DFT (PBE) results for crystalline MnReSnCSe at its relaxed geometry.

Computed properties:
**Magnetization**: 2.06 μB per formula unit
**Uncorrected formation energy**: 0.11 eV per atom

Cell and atoms, written as CIF:
```
data_MnReSnCSe
_chemical_formula_sum 'Mn1 Re1 Sn1 C1 Se1'
_cell_length_a 3.163
_cell_length_b 3.163
_cell_length_c 9.946
_cell_angle_alpha 90.00
_cell_angle_beta 90.00
_cell_angle_gamma 120.00
_space_group_name_H-M_alt 'P 1'
_space_group_IT_number 1
loop_
_space_group_symop_operation_xyz
'x,y,z'
loop_
_atom_site_label
_atom_site_fract_x
_atom_site_fract_y
_atom_site_fract_z
_atom_site_occupancy
Re1 0.333 0.667 0.978 1
C1 0.667 0.333 0.078 1
Mn1 0.000 0.000 0.185 1
Sn1 0.000 0.000 0.738 1
Se1 0.333 0.667 0.352 1
```

=====

DFT (PBE) results for crystalline Mn2ReSnC at its relaxed geometry.

Computed properties:
**Magnetization**: 2.87 μB per formula unit
**Energy relative to the elements**: 0.1303 eV/atom

Cell and atoms, written as CIF:
```
data_Mn2ReSnC
_chemical_formula_sum 'Mn2 Re1 Sn1 C1'
_cell_length_a 3.948
_cell_length_b 3.948
_cell_length_c 4.131
_cell_angle_alpha 90.00
_cell_angle_beta 90.00
_cell_angle_gamma 90.00
_space_group_name_H-M_alt 'P 1'
_space_group_IT_number 1
loop_
_space_group_symop_operation_xyz
'x,y,z'
loop_
_atom_site_label
_atom_site_fract_x
_atom_site_fract_y
_atom_site_fract_z
_atom_site_occupancy
Re1 0.000 0.000 0.500 1
C1 0.000 0.000 0.000 1
Mn1 0.000 0.500 0.000 1
Mn2 0.500 0.000 0.000 1
Sn1 0.500 0.500 0.500 1
```

=====

DFT (PBE) results for crystalline TaMnRe2C at its relaxed geometry.

Computed properties:
**Magnetization**: 1.41 μB per formula unit
**Energy relative to the elements**: -0.0541 eV/atom

Cell and atoms, written as CIF:
```
data_TaMnRe2C
_chemical_formula_sum 'Ta1 Mn1 Re2 C1'
_cell_length_a 4.131
_cell_length_b 4.131
_cell_length_c 3.869
_cell_angle_alpha 90.00
_cell_angle_beta 90.00
_cell_angle_gamma 90.00
_space_group_name_H-M_alt 'P 1'
_space_group_IT_number 1
loop_
_space_group_symop_operation_xyz
'x,y,z'
loop_
_atom_site_label
_atom_site_fract_x
_atom_site_fract_y
_atom_site_fract_z
_atom_site_occupancy
Re1 0.000 0.500 0.000 1
Re2 0.500 0.000 0.000 1
C1 0.000 0.000 0.000 1
Mn1 0.000 0.000 0.500 1
Ta1 0.500 0.500 0.500 1
```

=====

DFT (PBE) results for crystalline Y2MnReC at its relaxed geometry.

Computed properties:
**Magnetization**: 0.01 μB per formula unit
**Energy relative to the elements**: 0.2722 eV/atom

Cell and atoms, written as CIF:
```
data_Y2MnReC
_chemical_formula_sum 'Y2 Mn1 Re1 C1'
_cell_length_a 4.900
_cell_length_b 4.900
_cell_length_c 3.935
_cell_angle_alpha 90.00
_cell_angle_beta 90.00
_cell_angle_gamma 90.00
_space_group_name_H-M_alt 'P 1'
_space_group_IT_number 1
loop_
_space_group_symop_operation_xyz
'x,y,z'
loop_
_atom_site_label
_atom_site_fract_x
_atom_site_fract_y
_atom_site_fract_z
_atom_site_occupancy
Y1 0.000 0.500 0.000 1
Y2 0.500 0.000 0.000 1
Re1 0.000 0.000 0.500 1
C1 0.000 0.000 0.000 1
Mn1 0.500 0.500 0.500 1
```

=====

DFT (PBE) results for crystalline Mn3RhC at its relaxed geometry.

Computed properties:
**Magnetization**: 12.64 μB per formula unit
**Energy relative to the elements**: 2.0491 eV/atom

Cell and atoms, written as CIF:
```
data_Mn3RhC
_chemical_formula_sum 'Mn3 Rh1 C1'
_cell_length_a 4.786
_cell_length_b 4.786
_cell_length_c 4.786
_cell_angle_alpha 90.00
_cell_angle_beta 90.00
_cell_angle_gamma 90.00
_space_group_name_H-M_alt 'P 1'
_space_group_IT_number 1
loop_
_space_group_symop_operation_xyz
'x,y,z'
loop_
_atom_site_label
_atom_site_fract_x
_atom_site_fract_y
_atom_site_fract_z
_atom_site_occupancy
C1 0.500 0.500 0.500 1
Mn1 0.000 0.500 0.000 1
Mn2 0.000 0.000 0.500 1
Mn3 0.500 0.000 0.000 1
Rh1 0.000 0.000 0.000 1
```

=====

The lowest magnetization belongs to which entry?
number 5

=====

Which value of magnetization does entry 5 give?
0.00 μB per formula unit